[1]
Compound: RbNaTePd
Source: OQMD
Functional: PBE-GGA
Structure: optimized geometry

Output
ΔE to the lowest computed polymorph   0 meV per atom
SG   F-43m, No. 216
DFT total energy   -12.0 eV/cell
Crystal system   cubic
Volume   25.62 Å³/atom

```
RbNaTePd
1.0
0.000 3.714 3.714
3.714 0.000 3.714
3.714 3.714 0.000
Rb Na Te Pd
1 1 1 1
Direct
0.000 0.000 0.000 Rb
0.750 0.750 0.750 Na
0.500 0.500 0.500 Te
0.250 0.250 0.250 Pd
```



[2]
Compound: Sm2Ge2O7
Source: OQMD
Functional: PBE-GGA
Structure: optimized geometry

Output
ΔE to the lowest computed polymorph   11 meV per atom
SG   P1, No. 1
DFT total energy   -162.9 eV/cell
Size of the total moment   0.00 Bohr magnetons per cell
Crystal system   triclinic
Volume   13.24 Å³/atom

```
Sm2Ge2O7
1.0
6.768 0.000 0.000
0.226 6.889 0.000
0.337 2.977 6.246
Sm Ge O
4 4 14
Direct
0.000 0.000 0.000 Sm
0.060 0.509 0.487 Sm
0.298 0.980 0.490 Sm
0.574 0.425 0.845 Sm
0.110 0.474 0.973 Ge
0.467 0.868 0.032 Ge
0.566 0.424 0.349 Ge
0.802 0.990 0.502 Ge
0.015 0.613 0.118 O
0.251 0.607 0.726 O
0.256 0.238 0.102 O
0.287 0.959 0.842 O
0.341 0.323 0.482 O
0.345 0.786 0.285 O
0.562 0.603 0.071 O
0.614 0.819 0.652 O
0.658 0.051 0.964 O
0.663 0.202 0.297 O
0.712 0.488 0.508 O
0.921 0.380 0.862 O
0.971 0.878 0.373 O
0.975 0.102 0.609 O
```



[3]
Compound: Rb2ZrCdBr6
Source: OQMD
Functional: PBE-GGA
Structure: optimized geometry

Output
SG   Fm-3m, No. 225
DFT total energy   -34.4 eV/cell
Size of the total moment   0.00 Bohr magnetons per cell
Crystal system   cubic
Volume   42.42 Å³/atom

```
Rb2ZrCdBr6
1.0
0.000 5.964 5.964
5.964 0.000 5.964
5.964 5.964 0.000
Rb Zr Cd Br
2 1 1 6
Direct
0.250 0.250 0.250 Rb
0.750 0.750 0.750 Rb
0.000 0.000 0.000 Zr
0.500 0.500 0.500 Cd
0.223 0.223 0.777 Br
0.223 0.777 0.223 Br
0.223 0.777 0.777 Br
0.777 0.223 0.223 Br
0.777 0.223 0.777 Br
0.777 0.777 0.223 Br
```



[4]
Compound: DyY4Lu2Ni2Te2
Source: OQMD
Functional: PBE-GGA
Structure: optimized geometry

Output
ΔE to the lowest computed polymorph   17 meV per atom
SG   Imm2, No. 44
DFT total energy   -64.4 eV/cell
Size of the total moment   0.01 Bohr magnetons per cell
Crystal system   orthorhombic
Volume   25.95 Å³/atom

```
DyY4Lu2Ni2Te2
1.0
-1.924 7.775 4.770
1.924 -7.775 4.770
1.924 7.775 -4.770
Dy Y Lu Ni Te
1 4 2 2 2
Direct
0.000 0.000 0.000 Dy
0.305 0.621 0.684 Y
0.621 0.268 0.354 Y
0.914 0.268 0.646 Y
0.936 0.621 0.316 Y
0.284 0.417 0.867 Lu
0.550 0.417 0.133 Lu
0.168 0.928 0.241 Ni
0.687 0.928 0.759 Ni
0.267 0.767 0.500 Te
0.661 0.661 0.000 Te
```



[5]
Compound: NdGdSb2Os2O2
Source: OQMD
Functional: PBE-GGA
Structure: optimized geometry

Output
SG   P4mm, No. 99
DFT total energy   -61.4 eV/cell
Size of the total moment   0.00 Bohr magnetons per cell
Crystal system   tetragonal
Volume   18.92 Å³/atom

```
NdGdSb2Os2O2
1.0
4.211 0.000 0.000
0.000 4.211 0.000
0.000 0.000 8.536
Nd Gd Sb Os O
1 1 2 2 2
Direct
0.000 0.000 0.000 Nd
0.500 0.500 0.248 Gd
0.000 0.000 0.444 Sb
0.500 0.500 0.804 Sb
0.000 0.500 0.624 Os
0.500 0.000 0.624 Os
0.000 0.500 0.131 O
0.500 0.000 0.131 O
```



[6]
Compound: TbGaAsO
Source: OQMD
Functional: PBE-GGA
Structure: optimized geometry

Output
ΔE to the lowest computed polymorph   188 meV per atom
SG   Pmc2_1, No. 26
DFT total energy   -45.9 eV/cell
Size of the total moment   0.01 Bohr magnetons per cell
Crystal system   orthorhombic
Volume   17.90 Å³/atom

```
TbGaAsO
1.0
4.485 0.000 0.000
0.000 4.982 0.000
0.000 0.000 6.409
Tb Ga As O
2 2 2 2
Direct
0.000 0.223 0.000 Tb
0.000 0.777 0.500 Tb
0.500 0.361 0.336 Ga
0.500 0.639 0.836 Ga
0.500 0.129 0.690 As
0.500 0.871 0.190 As
0.000 0.392 0.321 O
0.000 0.608 0.821 O
```



[7]
Compound: SmHoFe2Ge2
Source: OQMD
Functional: PBE-GGA
Structure: optimized geometry

Output
SG   P4mm, No. 99
DFT total energy   -38.2 eV/cell
Size of the total moment   0.32 Bohr magnetons per cell
Crystal system   tetragonal
Volume   18.64 Å³/atom

```
SmHoFe2Ge2
1.0
4.118 0.000 0.000
0.000 4.118 0.000
0.000 0.000 6.595
Sm Ho Fe Ge
1 1 2 2
Direct
0.000 0.000 0.000 Sm
0.500 0.500 0.380 Ho
0.000 0.500 0.681 Fe
0.500 0.000 0.681 Fe
0.000 0.000 0.488 Ge
0.500 0.500 0.874 Ge
```



[8]
Compound: NbFeCoAs
Source: OQMD
Functional: PBE-GGA
Structure: optimized geometry

Output
ΔE to the lowest computed polymorph   12 meV per atom
SG   F-43m, No. 216
DFT total energy   -30.2 eV/cell
Size of the total moment   3.03 Bohr magnetons per cell
Crystal system   cubic
Volume   13.77 Å³/atom

```
NbFeCoAs
1.0
0.000 3.020 3.020
3.020 0.000 3.020
3.020 3.020 0.000
Nb Fe Co As
1 1 1 1
Direct
0.000 0.000 0.000 Nb
0.750 0.750 0.750 Fe
0.500 0.500 0.500 Co
0.250 0.250 0.250 As
```



[9]
Compound: Tb4AsSe3
Source: OQMD
Functional: PBE-GGA
Structure: optimized geometry

Output
SG   Pm-3m, No. 221
DFT total energy   -47.6 eV/cell
Size of the total moment   0.00 Bohr magnetons per cell
Crystal system   cubic
Volume   24.32 Å³/atom

```
Tb4AsSe3
1.0
5.794 0.000 0.000
0.000 5.794 0.000
0.000 0.000 5.794
Tb As Se
4 1 3
Direct
0.000 0.000 0.000 Tb
0.000 0.500 0.500 Tb
0.500 0.000 0.500 Tb
0.500 0.500 0.000 Tb
0.500 0.500 0.500 As
0.000 0.000 0.500 Se
0.000 0.500 0.000 Se
0.500 0.000 0.000 Se
```



[10]
Compound: BaLu
Source: OQMD
Functional: PBE-GGA
Structure: optimized geometry

Output
ΔE to the lowest computed polymorph   475 meV per atom
SG   Fm-3m, No. 225
DFT total energy   -4.8 eV/cell
Size of the total moment   0.01 Bohr magnetons per cell
Crystal system   cubic
Volume   45.24 Å³/atom

```
BaLu
1.0
0.000 3.563 3.563
3.563 0.000 3.563
3.563 3.563 0.000
Ba Lu
1 1
Direct
0.000 0.000 0.000 Ba
0.500 0.500 0.500 Lu
```



[11]
Compound: AsOsSe6
Source: OQMD
Functional: PBE-GGA
Structure: optimized geometry

Output
SG   F-43m, No. 216
DFT total energy   -33.0 eV/cell
Size of the total moment   0.00 Bohr magnetons per cell
Crystal system   cubic
Volume   23.79 Å³/atom

```
AsOsSe6
1.0
0.000 4.565 4.565
4.565 0.000 4.565
4.565 4.565 0.000
As Os Se
1 1 6
Direct
0.000 0.000 0.000 As
0.750 0.750 0.750 Os
0.018 0.018 0.482 Se
0.018 0.482 0.018 Se
0.018 0.482 0.482 Se
0.482 0.018 0.018 Se
0.482 0.018 0.482 Se
0.482 0.482 0.018 Se
```



[12]
Compound: HfAlFe
Source: OQMD
Functional: PBE-GGA
Structure: optimized geometry

Output
SG   F-43m, No. 216
DFT total energy   -19.9 eV/cell
Size of the total moment   1.09 Bohr magnetons per cell
Crystal system   cubic
Volume   19.52 Å³/atom

```
HfAlFe
1.0
0.000 3.082 3.082
3.082 0.000 3.082
3.082 3.082 0.000
Hf Al Fe
1 1 1
Direct
0.000 0.000 0.000 Hf
0.750 0.750 0.750 Al
0.250 0.250 0.250 Fe
```



[13]
Compound: PrGa2PdAu
Source: OQMD
Functional: PBE-GGA
Structure: optimized geometry

Output
ΔE to the lowest computed polymorph   0 meV per atom
SG   P4/nmm, No. 129
DFT total energy   -46.0 eV/cell
Size of the total moment   0.01 Bohr magnetons per cell
Crystal system   tetragonal
Volume   20.40 Å³/atom

```
PrGa2PdAu
1.0
4.405 0.000 0.000
0.000 4.405 0.000
0.000 0.000 10.513
Pr Ga Pd Au
2 4 2 2
Direct
0.250 0.250 0.248 Pr
0.750 0.750 0.752 Pr
0.250 0.250 0.881 Ga
0.250 0.750 0.500 Ga
0.750 0.250 0.500 Ga
0.750 0.750 0.119 Ga
0.250 0.750 0.000 Pd
0.750 0.250 0.000 Pd
0.250 0.250 0.638 Au
0.750 0.750 0.362 Au
```



[14]
Compound: K3CuCl6
Source: OQMD
Functional: PBE-GGA
Structure: optimized geometry

Output
SG   Fm-3m, No. 225
DFT total energy   -30.2 eV/cell
Crystal system   cubic
Volume   28.57 Å³/atom

```
K3CuCl6
1.0
0.000 5.227 5.227
5.227 0.000 5.227
5.227 5.227 0.000
K Cu Cl
3 1 6
Direct
0.000 0.000 0.000 K
0.250 0.250 0.250 K
0.750 0.750 0.750 K
0.500 0.500 0.500 Cu
0.275 0.275 0.725 Cl
0.275 0.725 0.275 Cl
0.275 0.725 0.725 Cl
0.725 0.275 0.275 Cl
0.725 0.275 0.725 Cl
0.725 0.725 0.275 Cl
```



[15]
Compound: SrAlAgS3
Source: OQMD
Functional: PBE-GGA
Structure: optimized geometry

Output
SG   P2_1/m, No. 11
DFT total energy   -53.8 eV/cell
Crystal system   monoclinic
Volume   20.59 Å³/atom

```
SrAlAgS3
1.0
7.436 0.000 0.000
0.000 3.816 0.000
-2.584 0.000 8.708
Sr Al Ag S
2 2 2 6
Direct
0.241 0.250 0.279 Sr
0.759 0.750 0.721 Sr
0.326 0.750 0.860 Al
0.674 0.250 0.140 Al
0.095 0.250 0.599 Ag
0.905 0.750 0.401 Ag
0.108 0.250 0.874 S
0.302 0.750 0.559 S
0.447 0.750 0.130 S
0.553 0.250 0.870 S
0.698 0.250 0.441 S
0.892 0.750 0.126 S
```



[16]
Compound: Ta4GePC2
Source: OQMD
Functional: PBE-GGA
Structure: optimized geometry

Output
SG   P-6m2, No. 187
DFT total energy   -80.9 eV/cell
Size of the total moment   0.00 Bohr magnetons per cell
Crystal system   hexagonal
Volume   13.99 Å³/atom

```
Ta4GePC2
1.0
3.284 0.000 0.000
-1.642 2.844 0.000
0.000 0.000 11.983
Ta Ge P C
4 1 1 2
Direct
0.000 0.000 0.145 Ta
0.000 0.000 0.855 Ta
0.667 0.333 0.337 Ta
0.667 0.333 0.663 Ta
0.000 0.000 0.500 Ge
0.667 0.333 0.000 P
0.333 0.667 0.244 C
0.333 0.667 0.756 C
```



[17]
Compound: ScCoPd
Source: OQMD
Functional: PBE-GGA
Structure: optimized geometry

Output
SG   F-43m, No. 216
DFT total energy   -18.1 eV/cell
Size of the total moment   0.49 Bohr magnetons per cell
Crystal system   cubic
Volume   17.69 Å³/atom

```
ScCoPd
1.0
0.000 2.983 2.983
2.983 0.000 2.983
2.983 2.983 0.000
Sc Co Pd
1 1 1
Direct
0.000 0.000 0.000 Sc
0.750 0.750 0.750 Co
0.250 0.250 0.250 Pd
```



[18]
Compound: ScBeAlNi
Source: OQMD
Functional: PBE-GGA
Structure: optimized geometry

Output
ΔE to the lowest computed polymorph   153 meV per atom
SG   F-43m, No. 216
DFT total energy   -20.5 eV/cell
Size of the total moment   0.00 Bohr magnetons per cell
Crystal system   cubic
Volume   13.46 Å³/atom

```
ScBeAlNi
1.0
0.000 2.997 2.997
2.997 0.000 2.997
2.997 2.997 0.000
Sc Be Al Ni
1 1 1 1
Direct
0.000 0.000 0.000 Sc
0.250 0.250 0.250 Be
0.750 0.750 0.750 Al
0.500 0.500 0.500 Ni
```



[19]
Compound: Dy2Er3Tm2Ni2Te2
Source: OQMD
Functional: PBE-GGA
Structure: optimized geometry

Output
ΔE to the lowest computed polymorph   2 meV per atom
SG   Imm2, No. 44
DFT total energy   -56.7 eV/cell
Size of the total moment   0.01 Bohr magnetons per cell
Crystal system   orthorhombic
Volume   25.75 Å³/atom

```
Dy2Er3Tm2Ni2Te2
1.0
-1.919 7.762 4.755
1.919 -7.762 4.755
1.919 7.762 -4.755
Dy Er Tm Ni Te
2 3 2 2 2
Direct
0.146 0.000 0.146 Dy
0.854 0.000 0.854 Dy
0.463 0.649 0.815 Er
0.770 0.270 0.500 Er
0.834 0.649 0.185 Er
0.219 0.853 0.367 Tm
0.486 0.853 0.633 Tm
0.079 0.341 0.738 Ni
0.604 0.341 0.262 Ni
0.107 0.607 0.500 Te
0.504 0.504 0.000 Te
```



[20]
Compound: LuGaTe3Pb
Source: OQMD
Functional: PBE-GGA
Structure: optimized geometry

Output
SG   Cmcm, No. 63
DFT total energy   -48.1 eV/cell
Size of the total moment   0.03 Bohr magnetons per cell
Crystal system   orthorhombic
Volume   30.49 Å³/atom

```
LuGaTe3Pb
1.0
2.220 -7.424 0.000
2.220 7.424 0.000
0.000 0.000 11.098
Lu Ga Te Pb
2 2 6 2
Direct
0.000 0.000 0.000 Lu
0.000 0.000 0.500 Lu
0.464 0.536 0.750 Ga
0.536 0.464 0.250 Ga
0.091 0.909 0.750 Te
0.358 0.642 0.537 Te
0.358 0.642 0.963 Te
0.642 0.358 0.037 Te
0.642 0.358 0.463 Te
0.909 0.091 0.250 Te
0.250 0.750 0.250 Pb
0.750 0.250 0.750 Pb
```



[21]
Compound: HoSb
Source: OQMD
Functional: PBE-GGA
Structure: optimized geometry

Output
SG   F-43m, No. 216
DFT total energy   -9.9 eV/cell
Size of the total moment   0.00 Bohr magnetons per cell
Crystal system   cubic
Volume   41.38 Å³/atom

```
HoSb
1.0
0.000 3.459 3.459
3.459 0.000 3.459
3.459 3.459 0.000
Ho Sb
1 1
Direct
0.000 0.000 0.000 Ho
0.750 0.750 0.750 Sb
```



[22]
Compound: Zr
Source: OQMD
Functional: PBE-GGA
Structure: optimized geometry

Output
ΔE to the lowest computed polymorph   56 meV per atom
SG   R-3m, No. 166
DFT total energy   -8.5 eV/cell
Size of the total moment   0.00 Bohr magnetons per cell
Crystal system   trigonal
Volume   22.68 Å³/atom

```
Zr
1.0
1.615 0.932 2.512
-1.615 0.932 2.512
0.000 -1.864 2.512
Zr
1
Direct
0.000 0.000 0.000 Zr
```



[23]
Compound: Ta2Pt3S8
Source: OQMD
Functional: PBE-GGA
Structure: optimized geometry

Output
SG   Pbam, No. 55
DFT total energy   -169.3 eV/cell
Size of the total moment   0.00 Bohr magnetons per cell
Crystal system   orthorhombic
Volume   20.70 Å³/atom

```
Ta2Pt3S8
1.0
10.558 0.000 0.000
0.000 14.628 0.000
0.000 0.000 3.485
Ta Pt S
4 6 16
Direct
0.204 0.121 0.000 Ta
0.296 0.621 0.000 Ta
0.704 0.379 0.000 Ta
0.796 0.879 0.000 Ta
0.000 0.000 0.500 Pt
0.134 0.722 0.500 Pt
0.366 0.222 0.500 Pt
0.500 0.500 0.500 Pt
0.634 0.778 0.500 Pt
0.866 0.278 0.500 Pt
0.038 0.158 0.500 S
0.063 0.624 0.000 S
0.223 0.998 0.500 S
0.243 0.287 0.000 S
0.257 0.787 0.000 S
0.277 0.498 0.500 S
0.437 0.124 0.000 S
0.462 0.658 0.500 S
0.538 0.342 0.500 S
0.563 0.876 0.000 S
0.723 0.502 0.500 S
0.743 0.213 0.000 S
0.757 0.713 0.000 S
0.777 0.002 0.500 S
0.937 0.376 0.000 S
0.962 0.842 0.500 S
```



[24]
Compound: BeZnNiMo
Source: OQMD
Functional: PBE-GGA
Structure: optimized geometry

Output
ΔE to the lowest computed polymorph   0 meV per atom
SG   F-43m, No. 216
DFT total energy   -20.9 eV/cell
Size of the total moment   0.16 Bohr magnetons per cell
Crystal system   cubic
Volume   12.24 Å³/atom

```
BeZnNiMo
1.0
0.000 2.903 2.903
2.903 0.000 2.903
2.903 2.903 0.000
Be Zn Ni Mo
1 1 1 1
Direct
0.000 0.000 0.000 Be
0.250 0.250 0.250 Zn
0.500 0.500 0.500 Ni
0.750 0.750 0.750 Mo
```



[25]
Compound: PmNpAl
Source: OQMD
Functional: PBE-GGA
Structure: optimized geometry

Output
ΔE to the lowest computed polymorph   0 meV per atom
SG   F-43m, No. 216
DFT total energy   -18.9 eV/cell
Size of the total moment   4.98 Bohr magnetons per cell
Crystal system   cubic
Volume   28.53 Å³/atom

```
PmNpAl
1.0
0.000 3.498 3.498
3.498 0.000 3.498
3.498 3.498 0.000
Pm Np Al
1 1 1
Direct
0.000 0.000 0.000 Pm
0.750 0.750 0.750 Np
0.500 0.500 0.500 Al
```